[1]
! K2YAsPd, relaxed, DFT PBE-GGA; values from VASP
&SYSTEM
  ibrav = 0, nat = 5, ntyp = 4
/
ATOMIC_SPECIES
K 39.10 K.upf
Y 88.91 Y.upf
As 74.92 As.upf
Pd 106.42 Pd.upf
CELL_PARAMETERS angstrom
5.892 0.000 0.000
0.000 5.892 0.000
0.000 0.000 4.831
ATOMIC_POSITIONS crystal
K 0.000 0.500 0.000
K 0.500 0.000 0.000
Y 0.000 0.000 0.500
As 0.500 0.500 0.500
Pd 0.500 0.500 0.000
! - Theoretical density: 3.45 g/cm3
! - Energy of formation from the pure elements: 1.44 eV/f.u.
! - Crystal system: tetragonal
! - VASP energy: -3.41 eV per atom

=====

[2]
! Sr4TlIr, relaxed, DFT PBE-GGA; values from VASP
&SYSTEM
  ibrav = 0, nat = 6, ntyp = 3
/
ATOMIC_SPECIES
Sr 87.62 Sr.upf
Tl 204.38 Tl.upf
Ir 192.22 Ir.upf
CELL_PARAMETERS angstrom
0.000 4.639 4.639
4.639 0.000 4.639
4.639 4.639 0.000
ATOMIC_POSITIONS crystal
Sr 0.376 0.376 0.376
Sr 0.376 0.376 0.872
Sr 0.376 0.872 0.376
Sr 0.872 0.376 0.376
Tl 0.000 0.000 0.000
Ir 0.750 0.750 0.750
! - Theoretical density: 6.21 g/cm3
! - Energy of formation from the pure elements: 4.68 eV/f.u.
! - Crystal system: cubic
! - VASP energy: -2.21 eV per atom

=====

[3]
! KSnHgPt2, relaxed, DFT PBE-GGA; values from VASP
&SYSTEM
  ibrav = 0, nat = 5, ntyp = 4
/
ATOMIC_SPECIES
K 39.10 K.upf
Sn 118.71 Sn.upf
Hg 200.59 Hg.upf
Pt 195.08 Pt.upf
CELL_PARAMETERS angstrom
5.119 0.000 0.000
0.000 5.119 0.000
0.000 0.000 5.744
ATOMIC_POSITIONS crystal
K 0.000 0.000 0.000
Sn 0.000 0.000 0.500
Hg 0.500 0.500 0.500
Pt 0.000 0.500 0.000
Pt 0.500 0.000 0.000
! - Theoretical density: 8.26 g/cm3
! - Energy of formation from the pure elements: 7.80 eV/f.u.
! - Crystal system: tetragonal
! - VASP energy: -1.94 eV per atom

=====

[4]
! Ta2Te2P, relaxed, DFT PBE-GGA; values from VASP
&SYSTEM
  ibrav = 0, nat = 10, ntyp = 3
/
ATOMIC_SPECIES
Ta 180.95 Ta.upf
Te 127.60 Te.upf
P 30.97 P.upf
CELL_PARAMETERS angstrom
6.709 0.000 0.000
0.000 6.709 0.000
0.000 0.000 4.669
ATOMIC_POSITIONS crystal
Ta 0.158 0.342 0.000
Ta 0.342 0.842 0.000
Ta 0.658 0.158 0.000
Ta 0.842 0.658 0.000
Te 0.167 0.667 0.500
Te 0.333 0.167 0.500
Te 0.667 0.833 0.500
Te 0.833 0.333 0.500
P 0.000 0.000 0.000
P 0.500 0.500 0.000
! - Theoretical density: 10.24 g/cm3
! - Crystal system: tetragonal
! - Uncorrected formation energy: 0.207 eV per atom
! - VASP energy: -6.87 eV per atom